(1)
Below is crystalline ScTiF6 at its relaxed geometry, with properties calculated at the PBE level.

Results
energy = -53.86 eV for the cell shown
space group = No. 12

a = 5.1205 Å, b = 5.1187 Å, c = 5.0626 Å
α = 59.63°, β = 83.65°, γ = 77.36°
Sites, in units of the cell vectors:
Sc1 0.0000 0.0000 0.0000
Ti1 0.5000 0.5000 0.0000
F1 0.7514 0.3991 0.7109
F2 0.7514 0.1100 0.2891
F3 0.2486 0.8900 0.7109
F4 0.2486 0.6009 0.2891
F5 0.7391 0.7465 0.0000
F6 0.2609 0.2535 0.0000

(2)
Below is crystalline K2MgZn at its relaxed geometry, with properties calculated at the PBE level.

Results
energy = -8.28 eV for the cell shown
calculated formation energy = 0.23 eV/atom
distance to the lowest polymorph of the same formula = 0.118 eV/atom
space group = No. 122

a = 12.3299 Å, b = 12.3299 Å, c = 9.1128 Å
α = 47.43°, β = 47.43°, γ = 90.00°
Sites, in units of the cell vectors:
Mg1 0.5000 0.5000 0.0000
Mg2 0.2500 0.7500 0.5000
Zn1 0.0000 0.0000 0.0000
Zn2 0.7500 0.2500 0.5000
K1 0.7761 0.1250 0.2500
K2 0.9739 0.6250 0.2500
K3 0.3750 0.2239 0.7500
K4 0.8750 0.0261 0.7500

(3)
Below is crystalline Li2CdGaH at its relaxed geometry, with properties calculated at the PBE level.

Results
energy = -11.77 eV for the cell shown
distance to the lowest polymorph of the same formula = 0.014 eV/atom
space group = No. 123

a = 4.1000 Å, b = 4.1000 Å, c = 4.3007 Å
α = 90.00°, β = 90.00°, γ = 90.00°
Sites, in units of the cell vectors:
H1 0.0000 0.0000 0.0000
Li1 0.0000 0.5000 0.0000
Li2 0.5000 0.0000 0.0000
Ga1 0.5000 0.5000 0.5000
Cd1 0.0000 0.0000 0.5000